Material: CuSe
Method: DFT, PBEsol
State: relaxed

Unit cell a=6.5836 b=6.5836 c=3.3408 alpha=90.00 beta=90.00 gamma=150.70
Positions (direct):
1 Cu 0.1872 0.8128 0.7500
2 Cu 0.8128 0.1872 0.2500
3 Se 0.3792 0.6208 0.7500
4 Se 0.6208 0.3792 0.2500

- Fermi-level density of states (states/eV/atom) = 0.63
- spin magnetization (Bohr magnetons per cell) = 0.000
- raw formation energy (eV/atom) = -0.002
- calculated total energy (eV per atom) = -4.0940
- space group = No. 63